Entry 1:
A plane-wave DFT calculation with PBE was carried out for crystalline BaMgSe2 at its relaxed geometry.

Summary:
- Final energy: -12.72 eV per formula unit
- Space group: F-43m
- Uncorrected formation energy: -0.559 eV per atom

```
4
Lattice="0.0000 3.7850 3.7850 3.7850 0.0000 3.7850 3.7850 3.7850 0.0000" Properties=species:S:1:pos:R:3 pbc="T T T"
Ba 0.0000 0.0000 0.0000
Mg 1.8925 1.8925 1.8925
Se 3.7850 3.7850 3.7850
Se 5.6776 5.6776 5.6776
```

***

Entry 2:
A plane-wave DFT calculation with PBE was carried out for crystalline BaMg2Se at its relaxed geometry.

Summary:
- Final energy: -10.32 eV per formula unit
- Space group: I-4m2
- Uncorrected formation energy: -0.431 eV per atom

```
4
Lattice="-2.5665 2.5665 4.6267 2.5665 -2.5665 4.6267 2.5665 2.5665 -4.6267" Properties=species:S:1:pos:R:3 pbc="T T T"
Ba 0.0000 0.0000 0.0000
Mg 2.5665 0.0000 2.3134
Mg 0.0000 0.0000 4.6267
Se 0.0000 2.5665 2.3134
```

***

Entry 3:
A plane-wave DFT calculation with PBE was carried out for crystalline BaMg2Se at its relaxed geometry.

Summary:
- Final energy: -10.90 eV per formula unit
- Space group: I4/mmm
- Uncorrected formation energy: -0.576 eV per atom

```
4
Lattice="-2.2631 2.2631 6.4580 2.2631 -2.2631 6.4580 2.2631 2.2631 -6.4580" Properties=species:S:1:pos:R:3 pbc="T T T"
Ba 0.0000 0.0000 0.0000
Mg 2.2631 0.0000 3.2290
Mg 0.0000 2.2631 3.2290
Se 0.0000 0.0000 6.4580
```

***

Look up the final energy of the second one.
-10.32 eV per formula unit

***

What is the formula in the first record?
BaMgSe2